# NaZrAg3Te4

A geometry-optimized NaZrAg3Te4 structure (GGA-PBE, OQMD via LeMat-Bulk).

a b c (Å): 6.6633 6.6633 6.6633
angles (deg): 90.00 90.00 90.00
Closest atoms and distances in Å follow each position.
Fractional coordinates of all 9 atoms:
Ag 0.5000 0.5000 0.0000  4 Te 2.85
Ag 0.5000 0.0000 0.5000  4 Te 2.85
Ag 0.0000 0.5000 0.5000  4 Te 2.85
Na 0.0000 0.0000 0.0000  4 Te 3.01
Te 0.2604 0.2604 0.2604  1 Zr 2.76, 3 Ag 2.85, 1 Na 3.01
Te 0.7396 0.7396 0.2604  1 Zr 2.76, 3 Ag 2.85, 1 Na 3.01
Te 0.7396 0.2604 0.7396  1 Zr 2.76, 3 Ag 2.85, 1 Na 3.01
Te 0.2604 0.7396 0.7396  1 Zr 2.76, 3 Ag 2.85, 1 Na 3.01
Zr 0.5000 0.5000 0.5000  4 Te 2.76

Output
As for the crystal system: cubic. The value obtained for the energy above the most stable polymorph in this dataset is 0.00 eV/f.u. The calculation puts the total magnetic moment at 0.0 μB per cell. Its space group is P-43m (215).

=====

# LiAgAs

A geometry-optimized LiAgAs structure (GGA-PBE, OQMD via LeMat-Bulk).

a b c (Å): 4.1958 4.1958 4.1958
angles (deg): 60.00 60.00 60.00
Closest atoms and distances in Å follow each position.
Fractional coordinates of all 3 atoms:
Ag 0.2500 0.2500 0.2500  4 Li 2.57
As 0.7500 0.7500 0.7500  4 Li 2.57
Li 0.0000 0.0000 0.0000  4 As 2.57, 4 Ag 2.57

Output
As for the crystal system: cubic. Its space group is F-43m (216).

=====

# PaAsAuO

A geometry-optimized PaAsAuO structure (GGA-PBE, OQMD via LeMat-Bulk).

a b c (Å): 4.3763 5.6309 6.8022
angles (deg): 90.00 90.00 90.00
Closest atoms and distances in Å follow each position.
Fractional coordinates of all 8 atoms:
As 0.0000 0.4216 0.3065  2 Au 2.50-2.67
As 0.0000 0.5784 0.8065  2 Au 2.50-2.67
Au 0.0000 0.1690 0.0035  2 As 2.50-2.67, 2 O 2.60
Au 0.0000 0.8311 0.5035  2 As 2.50-2.67, 2 O 2.60
O 0.5000 0.9924 0.3479  2 Pa 2.17-2.20
O 0.5000 0.0076 0.8479  2 Pa 2.17-2.20
Pa 0.5000 0.7570 0.0961  2 O 2.17-2.20
Pa 0.5000 0.2430 0.5961  2 O 2.17-2.20

Output
As for the crystal system: orthorhombic. The value obtained for the energy above the most stable polymorph in this dataset is 1.47 eV/f.u. The calculation puts the total magnetic moment at 2.0 μB per cell. Its space group is Pmc2_1 (26).

=====

# Pr3AlGaCo4

A geometry-optimized Pr3AlGaCo4 structure (GGA-PBE, OQMD via LeMat-Bulk).

a b c (Å): 5.5199 5.5199 8.3535
angles (deg): 98.68 98.68 43.61
Closest atoms and distances in Å follow each position.
Fractional coordinates of all 9 atoms:
Al 0.6766 0.6766 0.2836  5 Co 2.42-2.49
Co 0.0857 0.0857 0.1373  2 Al 2.49, 2 Co 2.65-2.70
Co 0.2594 0.2594 0.4178  2 Al 2.42, 3 Co 2.49-2.70, 1 Ga 2.50
Co 0.7411 0.7411 0.5819  2 Ga 2.43, 1 Al 2.47, 3 Co 2.49-2.71
Co 0.9147 0.9147 0.8629  2 Ga 2.48, 2 Co 2.65-2.71
Ga 0.3239 0.3239 0.7190  5 Co 2.43-2.50
Pr 0.3743 0.3743 0.1206  6 Co 2.92-3.05, 1 Al 3.18
Pr 0.0002 0.0002 0.5003  2 Co 2.85
Pr 0.6241 0.6241 0.8767  6 Co 2.91-3.06, 1 Ga 3.14

Output
As for the crystal system: monoclinic. The calculation puts the total magnetic moment at 0.9 μB per cell. Its space group is Cm (8).

=====

Values for VASP energy, eV/f.u., ordered as above
-35.70; -9.64; -25.43; -51.79